The following is a GGA-PBE calculation of crystalline NdSm2PaAs5 at its relaxed geometry, from Alexandria.

Fermi-level density of states   4.80 states/eV/f.u.
Space group   P4/mmm (123)
Formation enthalpy at 0 K   -0.582 eV/atom

Cell lengths 5.0721, 5.0721, 11.0671 Å; angles 90.00, 90.00, 90.00 degrees
Last column: nearest neighbours and their distance in Å.
Positions (direct):
Sm: 0.5000 0.5000 0.2697  1 As 2.98
Sm: 0.5000 0.5000 0.7303  1 As 2.98
As: 0.0000 0.0000 0.7497  1 Pa 2.76, 1 Nd 2.77
As: 0.0000 0.5000 0.5000  2 Pa 2.54
As: 0.0000 0.0000 0.2503  1 Pa 2.76, 1 Nd 2.77
As: 0.5000 0.0000 0.5000  2 Pa 2.54
As: 0.5000 0.5000 0.0000  2 Sm 2.98
Nd: 0.0000 0.0000 0.0000  2 As 2.77
Pa: 0.0000 0.0000 0.5000  6 As 2.54-2.76

***

The following is a GGA-PBE calculation of crystalline ScBSb2I at its relaxed geometry, from Alexandria.

Fermi-level density of states   4.82 states/eV/f.u.
Space group   P4/mmm (123)
Formation energy (no corrections)   535.4 meV/atom
E above lowest polymorph   0 meV/atom

Cell lengths 4.8298, 4.8298, 5.1640 Å; angles 90.00, 90.00, 90.00 degrees
Last column: nearest neighbours and their distance in Å.
Positions (direct):
B: 0.0000 0.0000 0.0000  4 Sb 2.41, 2 I 2.58
Sc: 0.5000 0.5000 0.5000  4 I 3.42, 8 Sb 3.54
I: 0.0000 0.0000 0.5000  2 B 2.58
Sb: 0.5000 0.0000 0.0000  2 B 2.41
Sb: 0.0000 0.5000 0.0000  2 B 2.41

***

The following is a GGA-PBE calculation of crystalline SrHI2N at its relaxed geometry, from Alexandria.

Fermi-level density of states   0.37 states/eV/f.u.
Space group   P4/mmm (123)
E above lowest polymorph   0 meV/atom

Cell lengths 5.7395, 5.7395, 3.7459 Å; angles 90.00, 90.00, 90.00 degrees
Last column: nearest neighbours and their distance in Å.
Positions (direct):
H: 0.0000 0.0000 0.0000  2 N 1.87
N: 0.0000 0.0000 0.5000  2 H 1.87
Sr: 0.5000 0.5000 0.5000  8 I 3.43, 2 Sr 3.75
I: 0.0000 0.5000 0.0000  2 H 2.87
I: 0.5000 0.0000 0.0000  2 H 2.87